{"formula": "La3Pr3Ag4", "functional": "PBE", "state": "optimized geometry", "cell": [[3.938, 0.000, 0.000], [0.000, 8.709, -0.020], [0.000, 0.057, 8.709]], "species": ["Pr", "Pr", "Pr", "Ag", "Ag", "Ag", "Ag", "La", "La", "La"], "fractional_positions": [[0.500, 0.171, 0.829], [0.000, 0.498, 0.001], [0.000, 0.999, 0.502], [0.000, 0.879, 0.876], [0.000, 0.376, 0.624], [0.000, 0.124, 0.121], [0.000, 0.623, 0.377], [0.500, 0.832, 0.168], [0.500, 0.328, 0.331], [0.500, 0.669, 0.672]], "magnetic_moment_mub_per_fu": 0.0, "crystal_system": "orthorhombic", "dos_ef_per_ev_atom": 1.2506, "formation_enthalpy_0k_ev_per_atom": -0.182}

---

{"formula": "LaPr4Ag", "functional": "PBE", "state": "optimized geometry", "cell": [[5.648, 0.000, 0.000], [0.000, 9.237, 0.000], [-2.824, 0.000, 7.943]], "species": ["La", "La", "Pr", "Pr", "Pr", "Pr", "Pr", "Pr", "Pr", "Pr", "Ag", "Ag"], "fractional_positions": [[0.865, 0.824, 0.730], [0.135, 0.324, 0.270], [0.518, 0.455, 0.035], [0.482, 0.955, 0.965], [0.663, 0.139, 0.326], [0.910, 0.214, 0.819], [0.264, 0.998, 0.527], [0.090, 0.714, 0.181], [0.736, 0.498, 0.473], [0.337, 0.639, 0.674], [0.666, 0.803, 0.332], [0.334, 0.303, 0.668]], "magnetic_moment_mub_per_fu": 0.0, "crystal_system": "orthorhombic", "dos_ef_per_ev_atom": 1.4342, "formation_enthalpy_0k_ev_per_atom": 0.105}

---

{"formula": "LaPr2Ag6", "functional": "PBE", "state": "optimized geometry", "cell": [[3.665, 0.000, 0.000], [1.832, 8.471, 1.231], [1.832, 3.612, 7.761]], "species": ["Ag", "Ag", "Ag", "Ag", "Ag", "Ag", "Pr", "Pr", "La"], "fractional_positions": [[0.826, 0.495, 0.853], [0.174, 0.147, 0.505], [0.000, 0.180, 0.820], [0.174, 0.505, 0.147], [0.000, 0.820, 0.180], [0.826, 0.853, 0.495], [0.357, 0.143, 0.143], [0.643, 0.857, 0.857], [0.500, 0.500, 0.500]], "magnetic_moment_mub_per_fu": 0.0, "crystal_system": "orthorhombic", "dos_ef_per_ev_atom": 0.8928, "formation_enthalpy_0k_ev_per_atom": -0.187}

---

{"formula": "La4PrAg5", "functional": "PBE", "state": "optimized geometry", "cell": [[3.785, 0.000, 0.000], [0.000, 3.785, 0.000], [0.000, 0.000, 19.400]], "species": ["Ag", "Ag", "Ag", "Ag", "Ag", "La", "La", "La", "La", "Pr"], "fractional_positions": [[0.500, 0.500, 0.903], [0.500, 0.500, 0.097], [0.500, 0.500, 0.701], [0.500, 0.500, 0.299], [0.500, 0.500, 0.500], [0.000, 0.000, 0.801], [0.000, 0.000, 0.600], [0.000, 0.000, 0.199], [0.000, 0.000, 0.400], [0.000, 0.000, 0.000]], "magnetic_moment_mub_per_fu": 0.0, "crystal_system": "tetragonal", "dos_ef_per_ev_atom": 0.9374, "formation_enthalpy_0k_ev_per_atom": -0.255}

---

{"formula": "LaPr6Ag2", "functional": "PBE", "state": "optimized geometry", "cell": [[-1.576, -0.909, 5.368], [5.558, -9.036, 0.936], [9.853, 1.043, 3.903]], "species": ["Pr", "Pr", "Pr", "Pr", "Pr", "Pr", "Pr", "Pr", "Pr", "Pr", "Pr", "Pr", "Ag", "Ag", "Ag", "Ag", "La", "La"], "fractional_positions": [[0.394, 0.675, 0.478], [0.317, 0.882, 0.646], [0.214, 0.002, 0.213], [0.683, 0.118, 0.354], [0.606, 0.325, 0.522], [0.286, 0.787, 0.998], [0.894, 0.478, 0.675], [0.786, 0.998, 0.787], [0.183, 0.354, 0.118], [0.714, 0.213, 0.002], [0.817, 0.646, 0.882], [0.106, 0.522, 0.325], [0.863, 0.806, 0.524], [0.363, 0.524, 0.806], [0.137, 0.194, 0.476], [0.637, 0.476, 0.194], [0.750, 0.808, 0.192], [0.250, 0.192, 0.808]], "magnetic_moment_mub_per_fu": 0.0, "crystal_system": "monoclinic", "dos_ef_per_ev_atom": 1.3466, "formation_enthalpy_0k_ev_per_atom": 0.006}

---

{"formula": "LaPrAgPt", "functional": "PBE", "state": "optimized geometry", "cell": [[-0.662, 2.385, -3.134], [-3.301, -2.930, -1.533], [-3.592, 1.658, 4.565]], "species": ["La", "Ag", "Pr", "Pt"], "fractional_positions": [[0.865, 0.500, 0.730], [0.583, 0.500, 0.166], [0.140, 0.000, 0.280], [0.412, 0.000, 0.824]], "magnetic_moment_mub_per_fu": 0.0, "crystal_system": "orthorhombic", "dos_ef_per_ev_atom": 0.8748, "formation_enthalpy_0k_ev_per_atom": -0.697}

---

{"formula": "LaPrAgPt", "functional": "PBE", "state": "optimized geometry", "cell": [[-5.204, 0.477, 0.550], [-2.137, 0.095, 4.799], [-2.045, 4.461, 1.877]], "species": ["Ag", "La", "Pt", "Pr"], "fractional_positions": [[0.250, 0.250, 0.250], [0.000, 0.000, 0.000], [0.750, 0.750, 0.750], [0.500, 0.500, 0.500]], "magnetic_moment_mub_per_fu": 0.0, "crystal_system": "cubic", "dos_ef_per_ev_atom": 0.7670, "formation_enthalpy_0k_ev_per_atom": -0.645}

---

{"formula": "LaPr2AgRu", "functional": "PBE", "state": "optimized geometry", "cell": [[-5.350, 0.091, -1.337], [0.584, -4.795, -2.662], [-1.205, -2.721, 4.635]], "species": ["Pr", "Pr", "Ru", "Ag", "La"], "fractional_positions": [[0.500, 0.000, 0.955], [0.000, 0.500, 0.955], [0.000, 0.000, 0.017], [0.500, 0.500, 0.596], [0.000, 0.000, 0.477]], "magnetic_moment_mub_per_fu": 0.0, "crystal_system": "tetragonal", "dos_ef_per_ev_atom": 0.9207, "formation_enthalpy_0k_ev_per_atom": -0.044}

---

{"formula": "La2PrAgS5", "functional": "PBE", "state": "optimized geometry", "cell": [[-2.940, -2.445, 1.450], [7.320, -3.583, 3.034], [-0.800, 7.024, 10.223]], "species": ["La", "La", "La", "La", "S", "S", "S", "S", "S", "S", "S", "S", "S", "S", "Pr", "Pr", "Ag", "Ag"], "fractional_positions": [[0.884, 0.768, 0.182], [0.122, 0.244, 0.302], [0.116, 0.232, 0.682], [0.878, 0.756, 0.802], [0.960, 0.920, 0.586], [0.502, 0.005, 0.780], [0.644, 0.287, 0.500], [0.498, 0.995, 0.280], [0.304, 0.608, 0.336], [0.696, 0.392, 0.836], [0.706, 0.411, 0.161], [0.294, 0.589, 0.661], [0.356, 0.713, 0.000], [0.040, 0.080, 0.086], [0.189, 0.377, 0.999], [0.811, 0.623, 0.499], [0.517, 0.034, 0.977], [0.483, 0.966, 0.477]], "final_energy_ev_per_atom": -5.990, "magnetic_moment_mub_per_fu": 0.0, "crystal_system": "orthorhombic", "dos_ef_per_ev_atom": 0.0051}

---

{"formula": "LaPrAgSb", "functional": "PBE", "state": "optimized geometry", "cell": [[5.451, 0.000, 0.000], [2.726, 4.721, 0.000], [2.726, 1.574, 4.451]], "species": ["Ag", "Sb", "Pr", "La"], "fractional_positions": [[0.250, 0.250, 0.250], [0.750, 0.750, 0.750], [0.500, 0.500, 0.500], [0.000, 0.000, 0.000]], "final_energy_ev_per_atom": -4.811, "magnetic_moment_mub_per_fu": 0.0, "crystal_system": "cubic", "dos_ef_per_ev_atom": 0.8670}

---

{"formula": "LaPr2AgSe5", "functional": "PBE", "state": "optimized geometry", "cell": [[-2.889, -2.521, -1.807], [3.559, -5.250, 6.607], [-8.810, 4.266, 8.137]], "species": ["Se", "Se", "Se", "Se", "Se", "Se", "Se", "Se", "Se", "Se", "Ag", "Ag", "La", "La", "Pr", "Pr", "Pr", "Pr"], "fractional_positions": [[0.636, 0.273, 0.500], [0.290, 0.579, 0.673], [0.043, 0.087, 0.081], [0.501, 0.002, 0.273], [0.957, 0.913, 0.581], [0.311, 0.622, 0.338], [0.499, 0.998, 0.773], [0.689, 0.378, 0.838], [0.710, 0.421, 0.173], [0.364, 0.727, 0.000], [0.451, 0.902, 0.463], [0.549, 0.098, 0.963], [0.804, 0.608, 0.506], [0.196, 0.392, 0.006], [0.878, 0.756, 0.806], [0.122, 0.244, 0.306], [0.890, 0.780, 0.185], [0.110, 0.220, 0.685]], "final_energy_ev_per_atom": -5.435, "magnetic_moment_mub_per_fu": 0.0, "crystal_system": "orthorhombic", "dos_ef_per_ev_atom": 0.0013}

---

{"formula": "La2PrSi2Ag2", "functional": "PBE", "state": "optimized geometry", "cell": [[-1.629, 4.180, 0.468], [-3.861, 0.679, 2.231], [3.050, 2.609, 9.044]], "species": ["Ag", "Ag", "La", "La", "Si", "Si", "Pr"], "fractional_positions": [[0.597, 0.597, 0.208], [0.403, 0.403, 0.792], [0.134, 0.134, 0.598], [0.866, 0.866, 0.402], [0.261, 0.261, 0.217], [0.739, 0.739, 0.783], [0.000, 0.000, 0.000]], "final_energy_ev_per_atom": -4.866, "magnetic_moment_mub_per_fu": 0.0, "crystal_system": "trigonal", "dos_ef_per_ev_atom": 0.4960}

---

{"formula": "LaPrSmAg", "functional": "PBE", "state": "optimized geometry", "cell": [[-0.935, -2.137, 2.951], [3.437, -1.529, -0.018], [2.815, 6.264, 5.428]], "species": ["La", "Pr", "Ag", "Sm"], "fractional_positions": [[0.000, 0.000, 0.066], [0.500, 0.500, 0.359], [0.000, 0.000, 0.579], [0.500, 0.500, 0.781]], "magnetic_moment_mub_per_fu": 0.0, "crystal_system": "tetragonal", "dos_ef_per_ev_atom": 1.5147, "formation_enthalpy_0k_ev_per_atom": -0.111}

---

{"formula": "LaPrSmAg", "functional": "PBE", "state": "optimized geometry", "cell": [[-2.997, 1.666, 4.328], [1.843, -0.867, 5.132], [1.716, 4.255, 3.073]], "species": ["Sm", "La", "Ag", "Pr"], "fractional_positions": [[0.000, 0.000, 0.000], [0.500, 0.500, 0.500], [0.250, 0.250, 0.250], [0.750, 0.750, 0.750]], "magnetic_moment_mub_per_fu": 2.3, "crystal_system": "cubic", "dos_ef_per_ev_atom": 1.0586, "formation_enthalpy_0k_ev_per_atom": 0.075}

---

{"formula": "LaPr2Ag2Sn2", "functional": "PBE", "state": "optimized geometry", "cell": [[4.887, 0.000, 0.000], [2.443, 4.232, 0.000], [2.443, 1.411, 9.486]], "species": ["Ag", "Ag", "Pr", "Pr", "La", "Sn", "Sn"], "fractional_positions": [[0.590, 0.590, 0.230], [0.410, 0.410, 0.770], [0.131, 0.131, 0.608], [0.869, 0.869, 0.392], [0.000, 0.000, 0.000], [0.263, 0.263, 0.211], [0.737, 0.737, 0.789]], "magnetic_moment_mub_per_fu": 0.0, "crystal_system": "trigonal", "dos_ef_per_ev_atom": 0.5712, "formation_enthalpy_0k_ev_per_atom": -0.456}

---

{"formula": "La2PrAg2Sn2", "functional": "PBE", "state": "optimized geometry", "cell": [[4.833, 0.000, 0.000], [2.416, 4.185, 0.000], [2.416, 1.395, 9.365]], "species": ["La", "La", "Ag", "Ag", "Sn", "Sn", "Pr"], "fractional_positions": [[0.862, 0.862, 0.414], [0.138, 0.138, 0.586], [0.418, 0.418, 0.746], [0.582, 0.582, 0.254], [0.734, 0.734, 0.799], [0.266, 0.266, 0.201], [0.000, 0.000, 0.000]], "magnetic_moment_mub_per_fu": 0.0, "crystal_system": "trigonal", "dos_ef_per_ev_atom": 0.6032, "formation_enthalpy_0k_ev_per_atom": -0.462}

---

{"formula": "LaPrTcAg", "functional": "PBE", "state": "optimized geometry", "cell": [[5.190, 0.000, 0.000], [2.595, 4.495, 0.000], [2.595, 1.498, 4.238]], "species": ["Tc", "Pr", "Ag", "La"], "fractional_positions": [[0.750, 0.750, 0.750], [0.000, 0.000, 0.000], [0.250, 0.250, 0.250], [0.500, 0.500, 0.500]], "magnetic_moment_mub_per_fu": 0.0, "crystal_system": "cubic", "dos_ef_per_ev_atom": 1.1161, "formation_enthalpy_0k_ev_per_atom": 0.039}

---

{"formula": "LaPrAg2Te4", "functional": "PBE", "state": "optimized geometry", "cell": [[-2.546, 4.934, 5.329], [-6.566, 2.258, 0.329], [-3.158, -1.969, 5.871]], "species": ["La", "Ag", "Ag", "Te", "Te", "Te", "Te", "Pr"], "fractional_positions": [[0.000, 0.000, 0.000], [0.164, 0.336, 0.336], [0.836, 0.664, 0.664], [0.061, 0.941, 0.449], [0.549, 0.449, 0.941], [0.939, 0.551, 0.059], [0.451, 0.059, 0.551], [0.500, 0.500, 0.500]], "final_energy_ev_per_atom": -4.317, "magnetic_moment_mub_per_fu": 0.0, "crystal_system": "orthorhombic", "dos_ef_per_ev_atom": 0.2267}

---

{"formula": "LaPr2Tl2Ag2", "functional": "PBE", "state": "optimized geometry", "cell": [[-0.140, 4.688, -1.721], [-1.649, 3.691, 2.936], [8.081, 4.194, 3.517]], "species": ["La", "Tl", "Tl", "Pr", "Pr", "Ag", "Ag"], "fractional_positions": [[0.000, 0.000, 0.000], [0.260, 0.260, 0.219], [0.740, 0.740, 0.781], [0.125, 0.125, 0.624], [0.875, 0.875, 0.376], [0.600, 0.600, 0.200], [0.400, 0.400, 0.800]], "magnetic_moment_mub_per_fu": 0.0, "crystal_system": "trigonal", "dos_ef_per_ev_atom": 0.7060, "formation_enthalpy_0k_ev_per_atom": -0.236}

---

{"formula": "LaPrYAg", "functional": "PBE", "state": "optimized geometry", "cell": [[-3.427, -0.856, -1.143], [-0.297, -2.481, 2.747], [-3.364, 6.328, 5.352]], "species": ["Pr", "La", "Y", "Ag"], "fractional_positions": [[0.000, 0.000, 0.081], [0.500, 0.500, 0.785], [0.500, 0.500, 0.366], [0.000, 0.000, 0.553]], "magnetic_moment_mub_per_fu": 0.0, "crystal_system": "tetragonal", "dos_ef_per_ev_atom": 1.4591, "formation_enthalpy_0k_ev_per_atom": -0.126}